Entry 1:
Compound: AcAs2Pd5Pt
Source: Alexandria
Functional: GGA-PBE
Structure: relaxed

The structure in CIF format:
```
data_AcAs2Pd5Pt
_chemical_formula_sum 'Ac1 As2 Pd5 Pt1'
_cell_length_a 4.9058
_cell_length_b 4.9058
_cell_length_c 7.2268
_cell_angle_alpha 90.00
_cell_angle_beta 90.00
_cell_angle_gamma 90.00
_space_group_name_H-M_alt 'P 4/m m m'
_space_group_IT_number 123
_space_group_name_Hall '-P 4 2'
loop_
_atom_site_label
_atom_site_fract_x
_atom_site_fract_y
_atom_site_fract_z
_atom_site_occupancy
Ac1 0.0000 0.0000 0.0000 1
As1 0.5000 0.5000 0.3327 1
Pd1 0.0000 0.5000 0.3000 1
Pd2 0.5000 0.5000 0.0000 1
Pt1 0.0000 0.0000 0.5000 1
```

Values from the calculation:
**DFT total energy**: -5.423 eV/atom
**ΔE_f**: -0.38 eV per atom
**M_tot**: 0.00 μB/atom

---

Entry 2:
Compound: Ac2As3PdPt4
Source: Alexandria
Functional: GGA-PBE
Structure: relaxed

The structure in CIF format:
```
data_Ac2As3PdPt4
_chemical_formula_sum 'Ac2 As3 Pd1 Pt4'
_cell_length_a 4.4804
_cell_length_b 4.4804
_cell_length_c 10.4058
_cell_angle_alpha 90.00
_cell_angle_beta 90.00
_cell_angle_gamma 90.00
_space_group_name_H-M_alt 'P -4 m 2'
_space_group_IT_number 115
loop_
_space_group_symop_operation_xyz
'x,y,z'
'y,-x,-z'
'-x,-y,z'
'-y,x,-z'
'-x,y,z'
'-y,-x,-z'
'x,-y,z'
'y,x,-z'
loop_
_atom_site_label
_atom_site_fract_x
_atom_site_fract_y
_atom_site_fract_z
_atom_site_occupancy
Ac1 0.0000 0.5000 0.2465 1
As1 0.0000 0.0000 0.0000 1
As2 0.0000 0.5000 0.6257 1
Pd1 0.5000 0.5000 0.0000 1
Pt1 0.0000 0.0000 0.5000 1
Pt2 0.0000 0.5000 0.8622 1
Pt3 0.5000 0.5000 0.5000 1
```

Values from the calculation:
**DFT total energy**: -6.006 eV/atom
**ΔE_f**: -0.85 eV per atom
**M_tot**: 0.00 μB/atom

---

Entry 3:
Compound: Ac2As3Pd4Pt
Source: Alexandria
Functional: GGA-PBE
Structure: relaxed

The structure in CIF format:
```
data_Ac2As3Pd4Pt
_chemical_formula_sum 'Ac2 As3 Pd4 Pt1'
_cell_length_a 4.4567
_cell_length_b 4.4567
_cell_length_c 10.4967
_cell_angle_alpha 90.00
_cell_angle_beta 90.00
_cell_angle_gamma 90.00
_space_group_name_H-M_alt 'P -4 m 2'
_space_group_IT_number 115
loop_
_space_group_symop_operation_xyz
'x,y,z'
'y,-x,-z'
'-x,-y,z'
'-y,x,-z'
'-x,y,z'
'-y,-x,-z'
'x,-y,z'
'y,x,-z'
loop_
_atom_site_label
_atom_site_fract_x
_atom_site_fract_y
_atom_site_fract_z
_atom_site_occupancy
Ac1 0.0000 0.5000 0.2432 1
As1 0.0000 0.0000 0.0000 1
As2 0.0000 0.5000 0.6248 1
Pd1 0.0000 0.0000 0.5000 1
Pd2 0.0000 0.5000 0.8594 1
Pd3 0.5000 0.5000 0.5000 1
Pt1 0.5000 0.5000 0.0000 1
```

Values from the calculation:
**DFT total energy**: -5.727 eV/atom
**ΔE_f**: -0.83 eV per atom
**M_tot**: 0.00 μB/atom

---

Entry 4:
Compound: AcAs2Pd2Pt
Source: Alexandria
Functional: GGA-PBE
Structure: relaxed

The structure in CIF format:
```
data_AcAs2Pd2Pt
_chemical_formula_sum 'Ac1 As2 Pd2 Pt1'
_cell_length_a 4.8573
_cell_length_b 4.8573
_cell_length_c 5.7942
_cell_angle_alpha 90.00
_cell_angle_beta 90.00
_cell_angle_gamma 90.00
_space_group_name_H-M_alt 'P 4/m m m'
_space_group_IT_number 123
_space_group_name_Hall '-P 4 2'
loop_
_atom_site_label
_atom_site_fract_x
_atom_site_fract_y
_atom_site_fract_z
_atom_site_occupancy
Ac1 0.0000 0.0000 0.0000 1
As1 0.0000 0.5000 0.5000 1
Pd1 0.5000 0.5000 0.2469 1
Pt1 0.0000 0.0000 0.5000 1
```

Values from the calculation:
**DFT total energy**: -5.347 eV/atom
**ΔE_f**: -0.37 eV per atom
**M_tot**: 0.00 μB/atom

---

Among the records above, which one has the lowest ΔE_f?
Ac2As3PdPt4

---

Please write out number 2 again, unchanged.
Compound: Ac2As3PdPt4
Source: Alexandria
Functional: GGA-PBE
Structure: relaxed

The structure in CIF format:
```
data_Ac2As3PdPt4
_chemical_formula_sum 'Ac2 As3 Pd1 Pt4'
_cell_length_a 4.4804
_cell_length_b 4.4804
_cell_length_c 10.4058
_cell_angle_alpha 90.00
_cell_angle_beta 90.00
_cell_angle_gamma 90.00
_space_group_name_H-M_alt 'P -4 m 2'
_space_group_IT_number 115
loop_
_space_group_symop_operation_xyz
'x,y,z'
'y,-x,-z'
'-x,-y,z'
'-y,x,-z'
'-x,y,z'
'-y,-x,-z'
'x,-y,z'
'y,x,-z'
loop_
_atom_site_label
_atom_site_fract_x
_atom_site_fract_y
_atom_site_fract_z
_atom_site_occupancy
Ac1 0.0000 0.5000 0.2465 1
As1 0.0000 0.0000 0.0000 1
As2 0.0000 0.5000 0.6257 1
Pd1 0.5000 0.5000 0.0000 1
Pt1 0.0000 0.0000 0.5000 1
Pt2 0.0000 0.5000 0.8622 1
Pt3 0.5000 0.5000 0.5000 1
```

Values from the calculation:
**DFT total energy**: -6.006 eV/atom
**ΔE_f**: -0.85 eV per atom
**M_tot**: 0.00 μB/atom

---

What is the formula in the second record?
Ac2As3PdPt4

---

Which of these has the lowest DFT total energy?
Ac2As3PdPt4